Below is a geometry-optimized TaMnTe4 structure, with properties calculated at the GGA-PBE level.

SG = C2/c, No. 15
M_tot = 0.525 μB per atom
E = -68.932 eV per cell

```
TaMnTe4
1.0
4.432 -7.786 0.000
4.432 7.786 0.000
-4.075 0.000 4.564
Ta Mn Te
2 2 8
direct
0.049 0.951 0.750 Ta
0.951 0.049 0.250 Ta
0.304 0.696 0.250 Mn
0.696 0.304 0.750 Mn
0.013 0.623 0.785 Te
0.229 0.348 0.852 Te
0.348 0.229 0.352 Te
0.377 0.987 0.715 Te
0.623 0.013 0.285 Te
0.652 0.771 0.648 Te
0.771 0.652 0.148 Te
0.987 0.377 0.215 Te
```